A geometry-optimized YAlCr2O6 structure, computed with PBE with a Hubbard U.

## Properties
DFT total energy   -8.05 eV/atom
Density   4.83 Mg/m³
Total magnetic moment   6.0 μB/cell
Fermi-level density of states   0.00 states/eV/f.u.

Unit cell a=5.209 b=5.209 c=5.518 alpha=61.83 beta=61.83 gamma=60.00
Atoms (fractional coordinates):
O: 0.601 0.242 0.229
Y: 0.797 0.797 0.608
O: 0.243 0.928 0.229
O: 0.159 0.370 0.757
O: 0.715 0.159 0.757
Cr: 0.012 0.012 0.964
Al: 0.318 0.318 0.046
O: 0.369 0.715 0.757
Cr: 0.520 0.520 0.441
O: 0.928 0.601 0.229